VASP calculation (GGA-PBE) on YTiH2 after structural relaxation.

Summary:
As for the excess energy over the best structure of this formula in the dataset: 0.00 eV per formula unit. The value obtained for the calculated density is 4.31 g/cm³. The total magnetization comes out at 1.76 μB per cell. The energy is -5.519 eV/atom.

abc: 4.936 4.936 5.605
angles: 63.87 63.87 90.00
Positions (direct):
Y: 0.750 0.250 0.500
Y: 0.000 0.000 0.000
H: 0.875 0.823 0.750
H: 0.375 0.427 0.750
H: 0.177 0.625 0.250
H: 0.573 0.125 0.250
Ti: 0.250 0.750 0.500
Ti: 0.500 0.500 0.000